[1]
{
  "formula": "Ti2SiP",
  "functional": "PBE",
  "state": "relaxed",
  "dos_ef_per_ev_atom": 1.253,
  "e_above_lowest_polymorph_ev_per_atom": 0.361,
  "e_tot_ev_per_atom": -7.0701,
  "lattice_angstrom": [[0.000, 3.097, 3.097], [3.097, 0.000, 3.097], [3.097, 3.097, 0.000]],
  "species": ["Ti", "Ti", "Si", "P"],
  "fractional_positions": [[0.250, 0.250, 0.250], [0.750, 0.750, 0.750], [0.000, 0.000, 0.000], [0.500, 0.500, 0.500]]
}

---

[2]
{
  "formula": "Ti5Si2P",
  "functional": "PBE",
  "state": "relaxed",
  "dos_ef_per_ev_atom": 1.047,
  "e_tot_ev_per_atom": -7.8156,
  "lattice_angstrom": [[-3.231, 3.231, 5.756], [3.231, -3.231, 5.756], [3.231, 3.231, -5.756]],
  "species": ["Ti", "Ti", "Ti", "Ti", "Ti", "Ti", "Ti", "Ti", "Ti", "Ti", "Si", "Si", "Si", "Si", "P", "P"],
  "fractional_positions": [[0.000, 0.000, 0.000], [0.013, 0.513, 0.830], [0.183, 0.013, 0.500], [0.317, 0.817, 0.830], [0.487, 0.317, 0.500], [0.500, 0.500, 0.000], [0.513, 0.683, 0.500], [0.683, 0.183, 0.170], [0.817, 0.987, 0.500], [0.987, 0.487, 0.170], [0.132, 0.368, 0.500], [0.368, 0.868, 0.237], [0.632, 0.132, 0.763], [0.868, 0.632, 0.500], [0.250, 0.250, 0.000], [0.750, 0.750, 0.000]]
}

---

[3]
{
  "formula": "Ti6Si2P",
  "functional": "PBE",
  "state": "relaxed",
  "dos_ef_per_ev_atom": 0.314,
  "e_tot_ev_per_atom": -7.9159,
  "lattice_angstrom": [[6.795, 0.000, 0.000], [-3.397, 5.885, 0.000], [0.000, 0.000, 3.461]],
  "species": ["Ti", "Ti", "Ti", "Ti", "Ti", "Ti", "Si", "Si", "P"],
  "fractional_positions": [[0.000, 0.401, 0.000], [0.000, 0.746, 0.500], [0.254, 0.254, 0.500], [0.401, 0.000, 0.000], [0.599, 0.599, 0.000], [0.746, 0.000, 0.500], [0.333, 0.667, 0.500], [0.667, 0.333, 0.500], [0.000, 0.000, 0.000]]
}

---

[4]
{
  "formula": "Ti3SiP",
  "functional": "PBE",
  "state": "relaxed",
  "dos_ef_per_ev_atom": 2.906,
  "e_above_lowest_polymorph_ev_per_atom": 0.623,
  "e_tot_ev_per_atom": -7.0562,
  "lattice_angstrom": [[4.486, 0.000, 0.000], [0.000, 4.486, 0.000], [0.000, 0.000, 4.486]],
  "species": ["Ti", "Ti", "Ti", "Si", "P"],
  "fractional_positions": [[0.000, 0.000, 0.500], [0.000, 0.500, 0.000], [0.500, 0.000, 0.000], [0.500, 0.500, 0.500], [0.000, 0.000, 0.000]]
}

---

[5]
{
  "formula": "Ti8Si2P",
  "functional": "PBE",
  "state": "relaxed",
  "dos_ef_per_ev_atom": 0.849,
  "e_tot_ev_per_atom": -7.7204,
  "lattice_angstrom": [[8.124, -2.118, 0.000], [8.124, 2.118, 0.000], [-1.446, 0.000, 5.133]],
  "species": ["Ti", "Ti", "Ti", "Ti", "Ti", "Ti", "Ti", "Ti", "Si", "Si", "P"],
  "fractional_positions": [[0.022, 0.022, 0.263], [0.230, 0.230, 0.830], [0.345, 0.345, 0.479], [0.407, 0.407, 0.005], [0.593, 0.593, 0.995], [0.655, 0.655, 0.521], [0.770, 0.770, 0.170], [0.978, 0.978, 0.737], [0.177, 0.177, 0.252], [0.823, 0.823, 0.748], [0.500, 0.500, 0.500]]
}

---

[6]
{
  "formula": "TiSiP3",
  "functional": "PBE",
  "state": "relaxed",
  "dos_ef_per_ev_atom": 1.078,
  "e_above_lowest_polymorph_ev_per_atom": 0.048,
  "e_tot_ev_per_atom": -5.3035,
  "lattice_angstrom": [[4.467, 0.000, 0.000], [0.000, 4.467, 0.000], [0.000, 0.000, 4.467]],
  "species": ["Ti", "Si", "P", "P", "P"],
  "fractional_positions": [[0.000, 0.000, 0.000], [0.500, 0.500, 0.500], [0.000, 0.500, 0.500], [0.500, 0.000, 0.500], [0.500, 0.500, 0.000]]
}

---

[7]
{
  "formula": "Ti2SiP",
  "functional": "PBE",
  "state": "relaxed",
  "dos_ef_per_ev_atom": 0.932,
  "e_above_lowest_polymorph_ev_per_atom": 0.813,
  "e_tot_ev_per_atom": -6.6182,
  "lattice_angstrom": [[-2.835, 2.835, 5.637], [2.835, -2.835, 5.637], [2.835, 2.835, -5.637]],
  "species": ["Ti", "Ti", "Ti", "Ti", "Si", "Si", "P", "P"],
  "fractional_positions": [[0.113, 0.625, 0.988], [0.375, 0.363, 0.488], [0.637, 0.125, 0.012], [0.875, 0.887, 0.512], [0.250, 0.750, 0.500], [0.500, 0.500, 0.000], [0.000, 0.000, 0.000], [0.750, 0.250, 0.500]]
}

---

[8]
{
  "formula": "TiSiP2",
  "functional": "PBE",
  "state": "relaxed",
  "dos_ef_per_ev_atom": 0.675,
  "e_tot_ev_per_atom": -6.2649,
  "lattice_angstrom": [[-2.850, 2.850, 4.913], [2.850, -2.850, 4.913], [2.850, 2.850, -4.913]],
  "species": ["Ti", "Ti", "Si", "Si", "P", "P", "P", "P"],
  "fractional_positions": [[0.000, 0.000, 0.000], [0.750, 0.250, 0.500], [0.250, 0.750, 0.500], [0.500, 0.500, 0.000], [0.154, 0.625, 0.029], [0.375, 0.404, 0.529], [0.596, 0.125, 0.971], [0.875, 0.846, 0.471]]
}

---

[9]
{
  "formula": "TiSiP3",
  "functional": "PBE",
  "state": "relaxed",
  "dos_ef_per_ev_atom": 0.583,
  "e_above_lowest_polymorph_ev_per_atom": 0.000,
  "e_tot_ev_per_atom": -5.3518,
  "lattice_angstrom": [[4.678, 0.000, 0.000], [0.000, 4.678, 0.000], [0.000, 0.000, 4.678]],
  "species": ["Ti", "Si", "P", "P", "P"],
  "fractional_positions": [[0.000, 0.000, 0.000], [0.500, 0.500, 0.500], [0.000, 0.000, 0.500], [0.000, 0.500, 0.000], [0.500, 0.000, 0.000]]
}

---

[10]
{
  "formula": "Ti2SiP",
  "functional": "PBE",
  "state": "relaxed",
  "dos_ef_per_ev_atom": 0.654,
  "e_above_lowest_polymorph_ev_per_atom": 0.000,
  "e_tot_ev_per_atom": -7.4308,
  "lattice_angstrom": [[1.772, 1.023, 5.870], [-1.772, 1.023, 5.870], [0.000, -2.046, 5.870]],
  "species": ["Ti", "Ti", "Si", "P"],
  "fractional_positions": [[0.247, 0.247, 0.247], [0.753, 0.753, 0.753], [0.000, 0.000, 0.000], [0.500, 0.500, 0.500]]
}

---

[11]
{
  "formula": "Ti2VSiP",
  "functional": "PBE",
  "state": "relaxed",
  "dos_ef_per_ev_atom": 1.406,
  "e_above_lowest_polymorph_ev_per_atom": 0.000,
  "e_tot_ev_per_atom": -6.7280,
  "lattice_angstrom": [[4.469, 0.000, 0.000], [0.000, 4.469, 0.000], [0.000, 0.000, 4.398]],
  "species": ["Ti", "Ti", "V", "Si", "P"],
  "fractional_positions": [[0.000, 0.500, 0.000], [0.500, 0.000, 0.000], [0.000, 0.000, 0.500], [0.500, 0.500, 0.500], [0.500, 0.500, 0.000]]
}

---

[12]
{
  "formula": "Ti2VSiP",
  "functional": "PBE",
  "state": "relaxed",
  "dos_ef_per_ev_atom": 0.884,
  "e_above_lowest_polymorph_ev_per_atom": 0.123,
  "e_tot_ev_per_atom": -6.6046,
  "lattice_angstrom": [[4.576, 0.000, 0.000], [0.000, 4.576, 0.000], [0.000, 0.000, 4.317]],
  "species": ["Ti", "Ti", "V", "Si", "P"],
  "fractional_positions": [[0.000, 0.500, 0.000], [0.500, 0.000, 0.000], [0.000, 0.000, 0.000], [0.500, 0.500, 0.500], [0.000, 0.000, 0.500]]
}

---

[13]
{
  "formula": "Tl2SiP",
  "functional": "PBE",
  "state": "relaxed",
  "dos_ef_per_ev_atom": 0.500,
  "e_above_lowest_polymorph_ev_per_atom": 0.549,
  "e_tot_ev_per_atom": -3.3096,
  "lattice_angstrom": [[3.049, 0.000, 0.000], [0.000, 3.930, 0.000], [-0.881, 0.000, 7.991]],
  "species": ["Tl", "Tl", "Si", "P"],
  "fractional_positions": [[0.243, 0.000, 0.243], [0.757, 0.000, 0.757], [0.500, 0.500, 0.500], [0.000, 0.500, 0.000]]
}

---

[14]
{
  "formula": "TlSi2P",
  "functional": "PBE",
  "state": "relaxed",
  "dos_ef_per_ev_atom": 0.195,
  "e_above_lowest_polymorph_ev_per_atom": 0.000,
  "e_tot_ev_per_atom": -4.3966,
  "lattice_angstrom": [[1.786, 1.031, 7.242], [-1.786, 1.031, 7.242], [0.000, -2.062, 7.242]],
  "species": ["Tl", "Si", "Si", "P"],
  "fractional_positions": [[0.000, 0.000, 0.000], [0.232, 0.232, 0.232], [0.495, 0.495, 0.495], [0.774, 0.774, 0.774]]
}

---

[15]
{
  "formula": "TlSiP2",
  "functional": "PBE",
  "state": "relaxed",
  "dos_ef_per_ev_atom": 0.286,
  "e_above_lowest_polymorph_ev_per_atom": 0.318,
  "e_tot_ev_per_atom": -4.2507,
  "lattice_angstrom": [[3.373, 0.000, 0.000], [0.000, 3.373, 0.000], [0.000, 0.000, 7.160]],
  "species": ["Tl", "Si", "P", "P"],
  "fractional_positions": [[0.000, 0.000, 0.000], [0.500, 0.500, 0.700], [0.000, 0.000, 0.478], [0.500, 0.500, 0.380]]
}

---

[16]
{
  "formula": "TlSiP2",
  "functional": "PBE",
  "state": "relaxed",
  "dos_ef_per_ev_atom": 0.550,
  "e_above_lowest_polymorph_ev_per_atom": 0.276,
  "e_tot_ev_per_atom": -4.2920,
  "lattice_angstrom": [[2.388, -2.467, 0.000], [2.388, 2.467, 0.000], [0.000, 0.000, 6.979]],
  "species": ["Tl", "Si", "P", "P"],
  "fractional_positions": [[0.000, 0.000, 0.000], [0.000, 0.000, 0.500], [0.500, 0.500, 0.343], [0.500, 0.500, 0.657]]
}

---

[17]
{
  "formula": "TlSi2P",
  "functional": "PBE",
  "state": "relaxed",
  "dos_ef_per_ev_atom": 0.673,
  "e_above_lowest_polymorph_ev_per_atom": 0.518,
  "e_tot_ev_per_atom": -3.8786,
  "lattice_angstrom": [[4.608, 0.000, 0.000], [0.000, 4.608, 0.000], [0.000, 0.000, 3.631]],
  "species": ["Tl", "Si", "Si", "P"],
  "fractional_positions": [[0.000, 0.000, 0.000], [0.000, 0.500, 0.500], [0.500, 0.000, 0.500], [0.500, 0.500, 0.000]]
}

---

[18]
{
  "formula": "Tl2SiP",
  "functional": "PBE",
  "state": "relaxed",
  "dos_ef_per_ev_atom": 0.353,
  "e_above_lowest_polymorph_ev_per_atom": 0.575,
  "e_tot_ev_per_atom": -3.2834,
  "lattice_angstrom": [[-2.144, 2.144, 5.153], [2.144, -2.144, 5.153], [2.144, 2.144, -5.153]],
  "species": ["Tl", "Tl", "Si", "P"],
  "fractional_positions": [[0.250, 0.750, 0.500], [0.750, 0.250, 0.500], [0.000, 0.000, 0.000], [0.500, 0.500, 0.000]]
}

---

[19]
{
  "formula": "TlSiP2",
  "functional": "PBE",
  "state": "relaxed",
  "dos_ef_per_ev_atom": 0.470,
  "e_above_lowest_polymorph_ev_per_atom": 0.338,
  "e_tot_ev_per_atom": -4.2302,
  "lattice_angstrom": [[-1.680, 3.115, 4.270], [1.680, -3.115, 4.270], [1.680, 3.115, -4.270]],
  "species": ["Tl", "Si", "P", "P"],
  "fractional_positions": [[0.000, 0.000, 0.000], [0.500, 0.500, 0.000], [0.317, 0.817, 0.500], [0.683, 0.183, 0.500]]
}

---

[20]
{
  "formula": "TlSiP2",
  "functional": "PBE",
  "state": "relaxed",
  "dos_ef_per_ev_atom": 0.470,
  "e_above_lowest_polymorph_ev_per_atom": 0.467,
  "e_tot_ev_per_atom": -4.1011,
  "lattice_angstrom": [[1.583, -3.034, 0.000], [1.583, 3.034, 0.000], [0.000, 0.000, 8.894]],
  "species": ["Tl", "Si", "P", "P"],
  "fractional_positions": [[0.000, 0.000, 0.000], [0.500, 0.500, 0.304], [0.000, 0.000, 0.510], [0.500, 0.500, 0.682]]
}